(1)
## SiPt2 (PBE)

Data for a geometry-optimized SiPt2 structure.

Lattice parameters (Å, degrees): 4.9004 4.9004 4.9004 109.56 109.56 109.29
Last column: nearest neighbours and their distance in Å.
Fractional coordinates of all 6 atoms:
Pt (0.1736, 0.3264, 0.5000)  4 Si 2.53, 1 Pt 2.78
Pt (0.3264, 0.8264, 0.1528)  4 Si 2.53, 1 Pt 2.78
Pt (0.6736, 0.1736, 0.8472)  4 Si 2.53, 1 Pt 2.78
Pt (0.8264, 0.6736, 0.5000)  4 Si 2.53, 1 Pt 2.78
Si (0.7500, 0.7500, 0.0000)  8 Pt 2.53
Si (0.2500, 0.2500, 0.0000)  8 Pt 2.53

Output
M_tot ... 0.000 μB per atom
Energy relative to the elements, uncorrected ... -43.0 kJ/mol of atoms

---

(2)
## CuTe2WCl (PBE)

Data for a geometry-optimized CuTe2WCl structure.

Lattice parameters (Å, degrees): 5.5711 4.1646 5.5711 90.00 90.00 90.00
Last column: nearest neighbours and their distance in Å.
Fractional coordinates of all 5 atoms:
Cl (0.0000, 0.0000, 0.0000)  2 Cu 2.08
Te (0.5000, 0.0000, 0.0000)  2 Cl 2.79
Te (0.0000, 0.0000, 0.5000)  2 Cl 2.79
Cu (0.0000, 0.5000, 0.0000)  2 Cl 2.08
W (0.5000, 0.5000, 0.5000)  8 Te 3.48

Output
M_tot ... 0.735 μB per atom
Energy relative to the elements, uncorrected ... 136.0 kJ/mol of atoms

---

(3)
## La8CoRu3Cl4 (PBE)

Data for a geometry-optimized La8CoRu3Cl4 structure.

Lattice parameters (Å, degrees): 8.2143 9.0137 8.2120 117.11 120.01 90.00
Last column: nearest neighbours and their distance in Å.
Fractional coordinates of all 16 atoms:
La (0.2649, 0.2952, 0.5298)  3 Ru 2.84
La (0.2639, 0.2973, 0.0304)  1 Co 2.82, 2 Ru 2.84
La (0.7351, 0.7048, 0.4702)  3 Ru 2.84
La (0.7665, 0.2973, 0.0304)  1 Co 2.82, 2 Ru 2.84
La (0.2335, 0.7027, 0.9696)  1 Co 2.82, 2 Ru 2.84
La (0.7361, 0.7027, 0.9696)  1 Co 2.82, 2 Ru 2.84
La (0.2334, 0.7027, 0.4669)  1 Co 2.82, 2 Ru 2.84
La (0.7666, 0.2973, 0.5331)  1 Co 2.82, 2 Ru 2.84
Cl (0.5000, 0.0000, 0.5000)  6 La 3.28
Cl (0.5000, 0.0000, 0.0000)  6 La 3.30
Cl (0.0000, 0.0000, 0.0000)  6 La 3.27-3.29
Cl (0.0000, 0.0000, 0.5000)  6 La 3.28
Co (0.0000, 0.5000, 0.0000)  6 La 2.82
Ru (0.5000, 0.5000, 0.5000)  6 La 2.84
Ru (0.0000, 0.5000, 0.5000)  6 La 2.84
Ru (0.5000, 0.5000, 0.0000)  6 La 2.84

Output
M_tot ... 0.000 μB per atom
Energy relative to the elements, uncorrected ... -96.3 kJ/mol of atoms